ZnAuNO PBE optimized geometry; calculated volume = 13.31 A^3/atom; polymorph energy (0 for the lowest one) = 0 meV/atom
1.0
-4.218 1.445 -2.814
2.578 -1.968 -4.875
-2.812 -6.217 1.022
Au N O Zn
4 4 4 4
direct
0.973 0.064 0.061
0.473 0.436 0.061
0.973 0.564 0.939
0.473 0.936 0.939
0.616 0.119 0.174
0.116 0.381 0.174
0.616 0.619 0.826
0.116 0.881 0.826
0.621 0.609 0.384
0.121 0.891 0.384
0.621 0.109 0.616
0.121 0.391 0.616
0.991 0.579 0.403
0.491 0.921 0.403
0.991 0.079 0.597
0.491 0.421 0.597